w) # Cs2NaAg

A relaxed structure of Cs2NaAg (PBE, Alexandria). Values from VASP.

Structure (Quantum ESPRESSO input):
```
&SYSTEM
  ibrav = 0, nat = 16, ntyp = 3
/
ATOMIC_SPECIES
Cs 132.91 Cs.upf
Na 22.99 Na.upf
Ag 107.87 Ag.upf
CELL_PARAMETERS angstrom
10.823 0.000 0.000
0.000 10.823 0.000
0.000 0.000 8.486
ATOMIC_POSITIONS crystal
Cs 0.197 0.750 0.125
Cs 0.250 0.197 0.875
Cs 0.250 0.303 0.375
Cs 0.303 0.750 0.625
Cs 0.697 0.250 0.625
Cs 0.750 0.697 0.375
Cs 0.750 0.803 0.875
Cs 0.803 0.250 0.125
Na 0.000 0.000 0.500
Na 0.000 0.500 0.750
Na 0.500 0.000 0.250
Na 0.500 0.500 0.000
Ag 0.000 0.000 0.000
Ag 0.000 0.500 0.250
Ag 0.500 0.000 0.750
Ag 0.500 0.500 0.500
```

Summary:
- symmetry = I-42d, No. 122

x) # Cs2NaAg

A relaxed structure of Cs2NaAg (PBE, Alexandria). Values from VASP.

Structure (Quantum ESPRESSO input):
```
&SYSTEM
  ibrav = 0, nat = 16, ntyp = 3
/
ATOMIC_SPECIES
Cs 132.91 Cs.upf
Na 22.99 Na.upf
Ag 107.87 Ag.upf
CELL_PARAMETERS angstrom
9.541 0.000 0.000
0.000 9.541 0.000
0.000 0.000 9.541
ATOMIC_POSITIONS crystal
Cs 0.250 0.250 0.250
Cs 0.250 0.250 0.750
Cs 0.250 0.750 0.250
Cs 0.250 0.750 0.750
Cs 0.750 0.250 0.250
Cs 0.750 0.250 0.750
Cs 0.750 0.750 0.250
Cs 0.750 0.750 0.750
Na 0.000 0.000 0.000
Na 0.000 0.500 0.500
Na 0.500 0.000 0.500
Na 0.500 0.500 0.000
Ag 0.000 0.000 0.500
Ag 0.000 0.500 0.000
Ag 0.500 0.000 0.000
Ag 0.500 0.500 0.500
```

Summary:
- symmetry = Fm-3m, No. 225

How do the energies compare? Relative to the most stable structure, in eV/atom: w) 0.059; x) 0.000.

w) # Cs3NaAg

A relaxed structure of Cs3NaAg (PBE, Alexandria). Values from VASP.

Structure (Quantum ESPRESSO input):
```
&SYSTEM
  ibrav = 0, nat = 5, ntyp = 3
/
ATOMIC_SPECIES
Cs 132.91 Cs.upf
Na 22.99 Na.upf
Ag 107.87 Ag.upf
CELL_PARAMETERS angstrom
7.311 0.000 0.000
0.000 7.311 0.000
0.000 0.000 7.311
ATOMIC_POSITIONS crystal
Cs 0.000 0.000 0.500
Cs 0.000 0.500 0.000
Cs 0.500 0.000 0.000
Na 0.500 0.500 0.500
Ag 0.000 0.000 0.000
```

Summary:
- symmetry = Pm-3m, No. 221

x) # Cs3NaAg

A relaxed structure of Cs3NaAg (PBE, Alexandria). Values from VASP.

Structure (Quantum ESPRESSO input):
```
&SYSTEM
  ibrav = 0, nat = 10, ntyp = 3
/
ATOMIC_SPECIES
Cs 132.91 Cs.upf
Na 22.99 Na.upf
Ag 107.87 Ag.upf
CELL_PARAMETERS angstrom
11.248 0.000 0.000
0.000 5.184 0.000
-2.800 0.000 11.753
ATOMIC_POSITIONS crystal
Cs 0.074 0.250 0.254
Cs 0.290 0.250 0.922
Cs 0.302 0.750 0.569
Cs 0.698 0.250 0.431
Cs 0.710 0.750 0.078
Cs 0.926 0.750 0.746
Na 0.394 0.750 0.227
Na 0.606 0.250 0.773
Ag 0.038 0.250 0.553
Ag 0.962 0.750 0.447
```

Summary:
- symmetry = P2_1/m, No. 11

How do the energies compare? Relative to the most stable structure, in eV/atom: w) 0.036; x) 0.000.

w) # CsNaAg3

A relaxed structure of CsNaAg3 (PBE, Alexandria). Values from VASP.

Structure (Quantum ESPRESSO input):
```
&SYSTEM
  ibrav = 0, nat = 5, ntyp = 3
/
ATOMIC_SPECIES
Cs 132.91 Cs.upf
Na 22.99 Na.upf
Ag 107.87 Ag.upf
CELL_PARAMETERS angstrom
6.496 0.000 0.000
0.000 6.496 0.000
0.000 0.000 6.496
ATOMIC_POSITIONS crystal
Cs 0.000 0.000 0.000
Na 0.500 0.500 0.500
Ag 0.000 0.000 0.500
Ag 0.000 0.500 0.000
Ag 0.500 0.000 0.000
```

Summary:
- symmetry = Pm-3m, No. 221

x) # CsNaAg3

A relaxed structure of CsNaAg3 (PBE, Alexandria). Values from VASP.

Structure (Quantum ESPRESSO input):
```
&SYSTEM
  ibrav = 0, nat = 5, ntyp = 3
/
ATOMIC_SPECIES
Cs 132.91 Cs.upf
Na 22.99 Na.upf
Ag 107.87 Ag.upf
CELL_PARAMETERS angstrom
5.616 0.000 0.000
0.000 5.616 0.000
0.000 0.000 5.616
ATOMIC_POSITIONS crystal
Cs 0.000 0.000 0.000
Na 0.500 0.500 0.500
Ag 0.000 0.500 0.500
Ag 0.500 0.000 0.500
Ag 0.500 0.500 0.000
```

Summary:
- symmetry = Pm-3m, No. 221

How do the energies compare? Relative to the most stable structure, in eV/atom: w) 0.552; x) 0.000.